{"formula": "La3TbEr6Tm2", "functional": "PBE-GGA", "state": "relaxed", "spacegroup": "No. 12", "formation_enthalpy_0k_ev_per_atom": 0.027, "cell": [[3.0937, -5.3580, 0.0000], [3.0937, 5.3580, 0.0000], [-2.0620, 0.0000, 11.6008]], "species": ["La", "La", "La", "Tb", "Er", "Er", "Er", "Er", "Er", "Er", "Tm", "Tm"], "fractional_positions": [[0.0000, 0.0000, 0.0000], [0.3333, 0.6667, 0.0000], [0.6667, 0.3333, 0.0000], [0.5000, 0.5000, 0.5000], [0.0856, 0.4192, 0.2565], [0.2471, 0.2471, 0.7436], [0.4192, 0.0856, 0.2565], [0.5808, 0.9144, 0.7435], [0.7529, 0.7529, 0.2564], [0.9144, 0.5808, 0.7435], [0.1667, 0.8333, 0.5000], [0.8333, 0.1667, 0.5000]]}